Density functional theory data (PBE-GGA) for crystalline ErU3As4 at its relaxed geometry.

Calculated values
- DFT total energy: -8.05 eV per atom
- Total magnetization: 7.6 μB/f.u.
- DOS at the Fermi energy: 1.84 states/eV/atom
- Formation enthalpy at 0 K: -0.924 eV/atom

a b c (Å): 7.1001 7.1001 4.0455
angles (deg): 90.00 90.00 108.92
Closest atoms and distances in Å follow each position.
Atoms (fractional coordinates):
Er: 0.0000 0.0000 0.0000  6 As 2.87-2.88
U: 0.0000 0.5000 0.5000  6 As 2.89
U: 0.5000 0.0000 0.5000  6 As 2.89
U: 0.5000 0.5000 0.0000  6 As 2.90
As: 0.2488 0.2488 0.5000  2 Er 2.88, 4 U 2.89-2.90
As: 0.2487 0.7513 0.0000  1 Er 2.87, 5 U 2.89-2.90
As: 0.7513 0.2487 0.0000  1 Er 2.87, 5 U 2.89-2.90
As: 0.7512 0.7512 0.5000  2 Er 2.88, 4 U 2.89-2.90

Density functional theory data (PBE-GGA) for crystalline Er4UAs5 at its relaxed geometry.

Calculated values
- DFT total energy: -6.64 eV per atom
- Total magnetization: 2.2 μB/f.u.
- DOS at the Fermi energy: 0.81 states/eV/atom
- Formation enthalpy at 0 K: -1.358 eV/atom

a b c (Å): 7.0586 7.0586 7.0586
angles (deg): 99.62 99.62 131.74
Closest atoms and distances in Å follow each position.
Atoms (fractional coordinates):
Er: 0.0991 0.6993 0.7985  6 As 2.87-2.90
Er: 0.3007 0.0991 0.3998  6 As 2.87-2.90
Er: 0.6993 0.9009 0.6002  6 As 2.87-2.90
Er: 0.9009 0.3007 0.2015  6 As 2.87-2.90
U: 0.5000 0.5000 0.0000  6 As 2.85-2.89
As: 0.0000 0.0000 0.0000  4 Er 2.88, 2 U 2.89
As: 0.2027 0.4017 0.6044  1 U 2.85, 5 Er 2.87-2.90
As: 0.4017 0.7973 0.1989  1 U 2.85, 5 Er 2.87-2.90
As: 0.5983 0.2027 0.8011  1 U 2.85, 5 Er 2.87-2.90
As: 0.7973 0.5983 0.3956  1 U 2.85, 5 Er 2.87-2.90

Density functional theory data (PBE-GGA) for crystalline Y2ErUAs4 at its relaxed geometry.

Calculated values
- DFT total energy: -7.26 eV per atom
- Total magnetization: 2.3 μB/f.u.
- DOS at the Fermi energy: 1.01 states/eV/atom
- Formation enthalpy at 0 K: -1.336 eV/atom

a b c (Å): 7.1022 4.0882 7.1054
angles (deg): 90.00 109.19 90.00
Closest atoms and distances in Å follow each position.
Atoms (fractional coordinates):
Y: 0.0000 0.0000 0.0000  6 As 2.92-2.93
Y: 0.5000 0.5000 0.0000  6 As 2.91
Er: 0.0000 0.5000 0.5000  6 As 2.88-2.89
U: 0.5000 0.0000 0.5000  6 As 2.86-2.89
As: 0.2509 0.0000 0.7449  1 U 2.86, 2 Er 2.89, 3 Y 2.91-2.93
As: 0.2515 0.5000 0.2536  1 Er 2.88, 2 U 2.89, 3 Y 2.91-2.92
As: 0.7485 0.5000 0.7464  1 Er 2.88, 2 U 2.89, 3 Y 2.91-2.92
As: 0.7491 0.0000 0.2551  1 U 2.86, 2 Er 2.89, 3 Y 2.91-2.93

Density functional theory data (PBE-GGA) for crystalline YEr2UAs4 at its relaxed geometry.

Calculated values
- DFT total energy: -7.01 eV per atom
- Total magnetization: 2.3 μB/f.u.
- DOS at the Fermi energy: 1.01 states/eV/atom
- Formation enthalpy at 0 K: -1.325 eV/atom

a b c (Å): 7.0828 4.0777 7.0849
angles (deg): 90.00 109.19 90.00
Closest atoms and distances in Å follow each position.
Atoms (fractional coordinates):
Y: 0.0000 0.0000 0.0000  6 As 2.90
Er: 0.5000 0.0000 0.5000  6 As 2.88
Er: 0.5000 0.5000 0.0000  6 As 2.89-2.91
U: 0.0000 0.5000 0.5000  6 As 2.86-2.89
As: 0.2501 0.5000 0.2540  1 U 2.86, 3 Er 2.88-2.91, 2 Y 2.90
As: 0.2508 0.0000 0.7487  3 Er 2.88-2.89, 2 U 2.89, 1 Y 2.90
As: 0.7492 0.0000 0.2513  3 Er 2.88-2.89, 2 U 2.89, 1 Y 2.90
As: 0.7499 0.5000 0.7460  1 U 2.86, 3 Er 2.88-2.91, 2 Y 2.90

Density functional theory data (PBE-GGA) for crystalline Er2ZrUAs4 at its relaxed geometry.

Calculated values
- DFT total energy: -7.16 eV per atom
- Total magnetization: 2.6 μB/f.u.
- DOS at the Fermi energy: 0.89 states/eV/atom
- Formation enthalpy at 0 K: -1.212 eV/atom

a b c (Å): 6.9428 4.0114 7.0005
angles (deg): 90.00 109.09 90.00
Closest atoms and distances in Å follow each position.
Atoms (fractional coordinates):
Er: 0.0000 0.0000 0.0000  6 As 2.84-2.85
Er: 0.5000 0.5000 0.0000  6 As 2.88-2.89
Zr: 0.0000 0.5000 0.5000  6 As 2.80-2.81
U: 0.5000 0.0000 0.5000  6 As 2.83-2.85
As: 0.2432 0.0000 0.7418  2 Zr 2.81, 1 U 2.83, 3 Er 2.85-2.89
As: 0.2453 0.5000 0.2529  1 Zr 2.80, 3 Er 2.84-2.88, 2 U 2.85
As: 0.7547 0.5000 0.7471  1 Zr 2.80, 3 Er 2.84-2.88, 2 U 2.85
As: 0.7568 0.0000 0.2582  2 Zr 2.81, 1 U 2.83, 3 Er 2.85-2.89

Density functional theory data (PBE-GGA) for crystalline ErZrU2As4 at its relaxed geometry.

Calculated values
- DFT total energy: -7.80 eV per atom
- Total magnetization: 0.1 μB/f.u.
- DOS at the Fermi energy: 1.77 states/eV/atom
- Formation enthalpy at 0 K: -1.016 eV/atom

a b c (Å): 6.9811 3.9958 6.9827
angles (deg): 90.00 109.04 90.00
Closest atoms and distances in Å follow each position.
Atoms (fractional coordinates):
Er: 0.0000 0.0000 0.0000  6 As 2.84
Zr: 0.5000 0.5000 0.0000  6 As 2.80
U: 0.0000 0.5000 0.5000  6 As 2.89
U: 0.5000 0.0000 0.5000  6 As 2.85
As: 0.2528 0.5000 0.2445  1 Zr 2.80, 2 Er 2.84, 3 U 2.85-2.89
As: 0.2575 0.0000 0.7584  2 Zr 2.80, 1 Er 2.84, 3 U 2.85-2.89
As: 0.7425 0.0000 0.2416  2 Zr 2.80, 1 Er 2.84, 3 U 2.85-2.89
As: 0.7472 0.5000 0.7555  1 Zr 2.80, 2 Er 2.84, 3 U 2.85-2.89

Density functional theory data (PBE-GGA) for crystalline ErVAs at its relaxed geometry.

Calculated values
- DFT total energy: -6.18 eV per atom
- Total magnetization: 0.3 μB/f.u.
- DOS at the Fermi energy: 0.97 states/eV/atom
- Formation enthalpy at 0 K: -0.070 eV/atom

a b c (Å): 4.1197 4.1197 7.0537
angles (deg): 94.96 94.96 83.40
Closest atoms and distances in Å follow each position.
Atoms (fractional coordinates):
Er: 0.2487 0.7513 0.0000  2 Er 2.73-2.76, 4 As 2.92-3.00
Er: 0.7513 0.2487 0.0000  2 Er 2.73-2.76, 4 As 2.92-3.00
V: 0.3451 0.3451 0.3774  1 V 2.42, 1 As 2.46
V: 0.6549 0.6549 0.6226  1 V 2.42, 1 As 2.46
As: 0.2228 0.2228 0.6970  1 V 2.46
As: 0.7772 0.7772 0.3030  1 V 2.46

Density functional theory data (PBE-GGA) for crystalline Y3Er5As8 at its relaxed geometry.

Calculated values
- DFT total energy: -6.50 eV per atom
- Total magnetization: 0.0 μB/f.u.
- DOS at the Fermi energy: 0.18 states/eV/atom
- Formation enthalpy at 0 K: -1.533 eV/atom

a b c (Å): 8.1949 8.1949 8.1949
angles (deg): 60.00 60.00 60.00
Closest atoms and distances in Å follow each position.
Atoms (fractional coordinates):
Y: 0.0000 0.5000 0.5000  6 As 2.91
Y: 0.5000 0.0000 0.5000  6 As 2.91
Y: 0.5000 0.5000 0.0000  6 As 2.91
Er: 0.0000 0.0000 0.0000  6 As 2.90
Er: 0.0000 0.0000 0.5000  6 As 2.89
Er: 0.0000 0.5000 0.0000  6 As 2.89
Er: 0.5000 0.0000 0.0000  6 As 2.89
Er: 0.5000 0.5000 0.5000  6 As 2.90
As: 0.2480 0.7500 0.7500  4 Er 2.89-2.90, 2 Y 2.91
As: 0.2490 0.2490 0.2490  3 Er 2.89, 3 Y 2.91
As: 0.2500 0.2500 0.7520  4 Er 2.89-2.90, 2 Y 2.91
As: 0.2500 0.7520 0.2500  4 Er 2.89-2.90, 2 Y 2.91
As: 0.7500 0.2480 0.7500  4 Er 2.89-2.90, 2 Y 2.91
As: 0.7500 0.7500 0.2480  4 Er 2.89-2.90, 2 Y 2.91
As: 0.7510 0.7510 0.7510  3 Er 2.89, 3 Y 2.91
As: 0.7520 0.2500 0.2500  4 Er 2.89-2.90, 2 Y 2.91

Density functional theory data (PBE-GGA) for crystalline Y2ErAs3 at its relaxed geometry.

Calculated values
- DFT total energy: -6.78 eV per atom
- Total magnetization: 0.0 μB/f.u.
- DOS at the Fermi energy: 0.15 states/eV/atom
- Formation enthalpy at 0 K: -1.545 eV/atom

a b c (Å): 9.1904 9.1904 9.1904
angles (deg): 154.16 154.16 36.86
Closest atoms and distances in Å follow each position.
Atoms (fractional coordinates):
Y: 0.1667 0.1667 0.0000  6 As 2.91-2.92
Y: 0.8333 0.8333 0.0000  6 As 2.91-2.92
Er: 0.5000 0.5000 0.0000  6 As 2.89-2.91
As: 0.0000 0.0000 0.0000  4 Er 2.91, 2 Y 2.91
As: 0.3341 0.3341 0.0000  1 Er 2.89, 5 Y 2.91-2.92
As: 0.6659 0.6659 0.0000  1 Er 2.89, 5 Y 2.91-2.92

Density functional theory data (PBE-GGA) for crystalline YEr2As at its relaxed geometry.

Calculated values
- DFT total energy: -5.65 eV per atom
- Total magnetization: 0.8 μB/f.u.
- DOS at the Fermi energy: 1.21 states/eV/atom
- Formation enthalpy at 0 K: -0.589 eV/atom

a b c (Å): 9.6552 9.6552 9.6552
angles (deg): 22.84 22.84 22.84
Closest atoms and distances in Å follow each position.
Atoms (fractional coordinates):
Y: 0.0000 0.0000 0.0000  6 Er 3.71, 6 Y 3.82
Er: 0.2278 0.2278 0.2278  3 As 2.80
Er: 0.7722 0.7722 0.7722  3 As 2.80
As: 0.5000 0.5000 0.5000  6 Er 2.80

Density functional theory data (PBE-GGA) for crystalline YErAs at its relaxed geometry.

Calculated values
- DFT total energy: -6.10 eV per atom
- Total magnetization: 0.0 μB/f.u.
- DOS at the Fermi energy: 0.91 states/eV/atom
- Formation enthalpy at 0 K: -0.872 eV/atom

a b c (Å): 3.9684 3.9684 6.3812
angles (deg): 90.00 90.00 120.00
Closest atoms and distances in Å follow each position.
Atoms (fractional coordinates):
Y: 0.0000 0.0000 0.0000  3 As 2.84
Er: 0.6667 0.3333 0.4807  3 As 2.82
As: 0.3333 0.6667 0.7371  3 Er 2.82, 3 Y 2.84

Density functional theory data (PBE-GGA) for crystalline YErAs at its relaxed geometry.

Calculated values
- DFT total energy: -5.97 eV per atom
- Total magnetization: 1.0 μB/f.u.
- DOS at the Fermi energy: 0.65 states/eV/atom
- Formation enthalpy at 0 K: -0.745 eV/atom

a b c (Å): 6.2431 6.2431 6.2431
angles (deg): 145.75 145.75 49.21
Closest atoms and distances in Å follow each position.
Atoms (fractional coordinates):
Y: 0.0000 0.0000 0.0000  4 As 3.09, 1 Er 3.23
Er: 0.7153 0.7153 0.0000  4 As 3.03, 1 Y 3.23
As: 0.3532 0.3532 0.0000  4 Er 3.03, 4 Y 3.09